1.
A geometry-optimized BaSr3Li3 structure, computed with PBE.

Structure (POSCAR):
```
BaSr3Li3
1.0
9.025 0.000 0.000
0.000 9.025 0.000
0.000 0.000 9.025
Ba Sr Li
2 6 6
direct
0.000 0.000 0.000
0.500 0.500 0.500
0.000 0.250 0.500
0.000 0.750 0.500
0.250 0.500 0.000
0.500 0.000 0.250
0.500 0.000 0.750
0.750 0.500 0.000
0.000 0.500 0.250
0.000 0.500 0.750
0.250 0.000 0.500
0.500 0.250 0.000
0.500 0.750 0.000
0.750 0.000 0.500
```

## Properties
Formation enthalpy at 0 K ... 0.433 eV per atom
Total DFT energy (no corrections) ... -19.36 eV per cell
Distance to the lowest polymorph of the same formula ... 351 meV per atom
Space group ... Pm-3n

***

2.
A geometry-optimized TiFe2Sn structure, computed with PBE.

Structure (POSCAR):
```
TiFe2Sn
1.0
3.061 0.000 0.000
0.000 3.061 0.000
0.000 0.000 5.949
Ti Fe Sn
1 2 1
direct
0.000 0.000 0.000
0.500 0.500 0.236
0.500 0.500 0.764
0.000 0.000 0.500
```

## Properties
Formation enthalpy at 0 K ... -0.136 eV per atom
Total DFT energy (no corrections) ... -29.37 eV per cell
Space group ... P4/mmm

***

3.
A geometry-optimized Cs2U3InO12 structure, computed with PBE.

Structure (POSCAR):
```
Cs2U3InO12
1.0
4.022 2.322 6.225
-4.022 2.322 6.225
0.000 -4.644 6.225
Cs U In O
2 3 1 12
direct
0.123 0.123 0.123
0.877 0.877 0.877
0.000 0.500 0.500
0.500 0.000 0.500
0.500 0.500 0.000
0.500 0.500 0.500
0.174 0.566 0.566
0.187 0.187 0.568
0.187 0.568 0.187
0.432 0.813 0.813
0.434 0.434 0.826
0.434 0.826 0.434
0.566 0.174 0.566
0.566 0.566 0.174
0.568 0.187 0.187
0.813 0.432 0.813
0.813 0.813 0.432
0.826 0.434 0.434
```

## Properties
Total DFT energy (no corrections) ... -145.13 eV per cell
Space group ... R-3m
E_form (uncorrected) ... -2629 meV/atom

***

Please write out number 2 again, unchanged.
A geometry-optimized TiFe2Sn structure, computed with PBE.

Structure (POSCAR):
```
TiFe2Sn
1.0
3.061 0.000 0.000
0.000 3.061 0.000
0.000 0.000 5.949
Ti Fe Sn
1 2 1
direct
0.000 0.000 0.000
0.500 0.500 0.236
0.500 0.500 0.764
0.000 0.000 0.500
```

## Properties
Formation enthalpy at 0 K ... -0.136 eV per atom
Total DFT energy (no corrections) ... -29.37 eV per cell
Space group ... P4/mmm